# Li3NiGe4, relaxed, DFT PBE
# theoretical density: 4.749 g/cm³
# energy of formation from the pure elements: -0.203 eV per atom
data_Li3NiGe4
_chemical_formula_sum 'Li6 Ni2 Ge8'
_symmetry_space_group_name_H-M 'I m m m'
_symmetry_Int_Tables_number 71
_symmetry_space_group_name_Hall '-I 2 2'
_cell_length_a 4.1398
_cell_length_b 5.8712
_cell_length_c 10.6473
_cell_angle_alpha 90.00
_cell_angle_beta 90.00
_cell_angle_gamma 90.00
loop_
_atom_site_label
_atom_site_type_symbol
_atom_site_fract_x
_atom_site_fract_y
_atom_site_fract_z
Li1 Li 0.0000 0.0000 0.0000
Li2 Li 0.0000 0.5000 0.1266
Ni1 Ni 0.0000 0.0000 0.5000
Ge1 Ge 0.0000 0.2797 0.3378